# Pt2Pb8Au

A geometry-optimized Pt2Pb8Au structure (PBE, the Alexandria database).

Calculated values
- ΔE_f (eV per formula unit) = -0.812
- SG = No. 12

Cell: 5.608 7.716 7.716 Å, 111.15 98.68 98.68°
Element x y z (fractional)
1 Pt 0.000 0.682 0.318
2 Pb 0.106 0.074 0.330
3 Pb 0.894 0.670 0.926
4 Au 0.500 0.000 0.000
5 Pb 0.500 0.234 0.766
6 Pb 0.687 0.368 0.368
7 Pb 0.313 0.632 0.632
8 Pt 0.000 0.318 0.682
9 Pb 0.106 0.330 0.074
10 Pb 0.500 0.766 0.234
11 Pb 0.894 0.926 0.670

# AlPPb2

A geometry-optimized AlPPb2 structure (PBE, the Alexandria database).

Calculated values
- distance to the lowest polymorph of the same formula (meV/atom) = 389
- ΔE_f (eV per formula unit) = 1.536
- SG = No. 225

Cell: 5.187 5.187 5.187 Å, 60.00 60.00 60.00°
Element x y z (fractional)
1 Al 0.000 0.000 0.000
2 Pb 0.750 0.750 0.750
3 Pb 0.250 0.250 0.250
4 P 0.500 0.500 0.500

# La3CoPb

A geometry-optimized La3CoPb structure (PBE, the Alexandria database).

Calculated values
- distance to the lowest polymorph of the same formula (meV/atom) = 136
- ΔE_f (eV per formula unit) = -1.296
- SG = No. 15

Cell: 12.728 8.840 8.840 Å, 85.75 122.86 57.14°
Element x y z (fractional)
1 La 0.100 0.226 0.180
2 La 0.927 0.095 0.247
3 La 0.900 0.774 0.820
4 Pb 0.750 0.591 0.091
5 La 0.427 0.253 0.405
6 Pb 0.750 0.252 0.752
7 La 0.096 0.541 0.433
8 Co 0.163 0.081 0.609
9 Pb 0.250 0.409 0.909
10 Co 0.337 0.109 0.581
11 La 0.073 0.905 0.753
12 Pb 0.250 0.748 0.248
13 La 0.573 0.747 0.595
14 La 0.596 0.067 0.959
15 Co 0.837 0.919 0.391
16 La 0.400 0.680 0.726
17 Co 0.663 0.891 0.419
18 La 0.600 0.320 0.274
19 La 0.904 0.459 0.567
20 La 0.404 0.933 0.041

# Ac2CuSn4Pd3

A geometry-optimized Ac2CuSn4Pd3 structure (PBE, the Alexandria database).

Calculated values
- ΔE_f (eV per formula unit) = -7.280
- SG = No. 115

Cell: 4.675 4.675 10.934 Å, 90.00 90.00 90.00°
Element x y z (fractional)
1 Sn 0.500 0.000 0.623
2 Sn 0.500 0.500 0.000
3 Cu 0.500 0.500 0.500
4 Pd 0.000 0.500 0.132
5 Pd 0.000 0.000 0.500
6 Ac 0.000 0.500 0.739
7 Ac 0.500 0.000 0.261
8 Pd 0.500 0.000 0.868
9 Sn 0.000 0.500 0.377
10 Sn 0.000 0.000 0.000

# NaUAsO5

A geometry-optimized NaUAsO5 structure (PBE, the Alexandria database).

Calculated values
- SG = No. 15

Cell: 6.179 6.179 8.554 Å, 109.63 109.63 96.27°
Element x y z (fractional)
1 As 0.661 0.339 0.250
2 O 0.999 0.001 0.750
3 Na 0.686 0.314 0.750
4 O 0.284 0.351 0.654
5 U 0.000 0.000 0.000
6 O 0.755 0.169 0.487
7 O 0.245 0.831 0.513
8 O 0.351 0.284 0.154
9 O 0.169 0.755 0.987
10 Na 0.314 0.686 0.250
11 U 0.000 0.000 0.500
12 O 0.001 0.999 0.250
13 As 0.339 0.661 0.750
14 O 0.831 0.245 0.013
15 O 0.716 0.649 0.346
16 O 0.649 0.716 0.846

# MgTa2Ag

A geometry-optimized MgTa2Ag structure (PBE, the Alexandria database).

Calculated values
- ΔE_f (eV per formula unit) = 3.429
- SG = No. 122

Cell: 7.723 7.723 6.066 Å, 50.47 50.47 90.00°
Element x y z (fractional)
1 Ta 0.111 0.625 0.250
2 Ta 0.375 0.361 0.750
3 Ta 0.639 0.125 0.250
4 Mg 0.250 0.750 0.500
5 Mg 0.500 0.500 0.000
6 Ta 0.875 0.889 0.750
7 Ag 0.000 0.000 0.000
8 Ag 0.750 0.250 0.500

Number 1: raw total energy -4.167 eV per atom. Number 2: raw total energy -3.758 eV per atom. Number 3: raw total energy -5.379 eV per atom. Number 4: raw total energy -5.118 eV per atom. Number 5: raw total energy -7.505 eV per atom. Number 6: raw total energy -6.181 eV per atom.